The following is a GGA-PBE calculation of a relaxed structure of Mg2Zr2Sn, from Alexandria via LeMat-Bulk.

Values from the calculation:
ΔH_f (0 K) in eV per atom: 0.09
Energy in eV per atom: -4.769
M_tot in μB per formula unit: 1.35
Polymorph energy (0 for the lowest one) in meV/atom: 0
V in A^3/atom: 24.89

a b c (Å): 7.4395 7.4395 4.4967
angles (deg): 90.00 90.00 90.00
With the nearest neighbours (Å) after each atom.
Positions (direct):
Sn: 0.0000 0.0000 0.0000  4 Zr 2.87
Sn: 0.5000 0.5000 0.0000  4 Zr 2.87
Mg: 0.6548 0.8452 0.5000  6 Zr 3.10-3.15, 1 Mg 3.26
Mg: 0.1548 0.6548 0.5000  6 Zr 3.10-3.15, 1 Mg 3.26
Mg: 0.3452 0.1548 0.5000  6 Zr 3.10-3.15, 1 Mg 3.26
Mg: 0.8452 0.3452 0.5000  6 Zr 3.10-3.15, 1 Mg 3.26
Zr: 0.8580 0.6420 0.0000  2 Sn 2.87, 1 Zr 2.99, 6 Mg 3.10-3.15
Zr: 0.6420 0.1420 0.0000  2 Sn 2.87, 1 Zr 2.99, 6 Mg 3.10-3.15
Zr: 0.1420 0.3580 0.0000  2 Sn 2.87, 1 Zr 2.99, 6 Mg 3.10-3.15
Zr: 0.3580 0.8580 0.0000  2 Sn 2.87, 1 Zr 2.99, 6 Mg 3.10-3.15

***

The following is a GGA-PBE calculation of a relaxed structure of Mg5Tc, from Alexandria via LeMat-Bulk.

Values from the calculation:
ΔH_f (0 K) in eV per atom: 0.61
Energy in eV per atom: -2.446
M_tot in μB per formula unit: 2.46
Polymorph energy (0 for the lowest one) in meV/atom: 480
V in A^3/atom: 21.95

a b c (Å): 5.5332 5.5332 4.9676
angles (deg): 90.00 90.00 120.00
With the nearest neighbours (Å) after each atom.
Positions (direct):
Mg: 0.0000 0.5000 0.5000  8 Mg 2.77-2.95
Mg: 0.3333 0.6667 0.0000  9 Mg 2.95-3.19, 3 Tc 3.19
Mg: 0.5000 0.5000 0.5000  8 Mg 2.77-2.95
Mg: 0.6667 0.3333 0.0000  9 Mg 2.95-3.19, 3 Tc 3.19
Mg: 0.5000 0.0000 0.5000  8 Mg 2.77-2.95
Tc: 0.0000 0.0000 0.0000  6 Mg 3.19

***

The following is a GGA-PBE calculation of a relaxed structure of CoCu2W, from Alexandria via LeMat-Bulk.

Values from the calculation:
ΔH_f (0 K) in eV per atom: 0.29
Energy in eV per atom: -6.773
M_tot in μB per formula unit: 0.67
Polymorph energy (0 for the lowest one) in meV/atom: 104
V in A^3/atom: 12.77

a b c (Å): 4.2756 2.5603 4.7661
angles (deg): 78.16 90.00 90.00
With the nearest neighbours (Å) after each atom.
Positions (direct):
Cu: 0.0000 0.9255 0.9892  5 Cu 2.46-2.62, 2 Co 2.51, 2 W 2.69
Cu: 0.0000 0.5745 0.5108  5 Cu 2.46-2.62, 2 Co 2.51, 2 W 2.69
W: 0.5000 0.2500 0.2500  2 Co 2.46, 2 W 2.56, 4 Cu 2.69
Co: 0.5000 0.7500 0.7500  2 W 2.46, 4 Cu 2.51, 2 Co 2.56

***

The following is a GGA-PBE calculation of a relaxed structure of PdSeI2, from Alexandria via LeMat-Bulk.

Values from the calculation:
Energy in eV per atom: -2.628
M_tot in μB per formula unit: 0.00
V in A^3/atom: 28.96
Formation energy from raw total energies in eV per atom: 0.32

a b c (Å): 7.6313 7.6313 6.7040
angles (deg): 55.31 55.31 90.00
With the nearest neighbours (Å) after each atom.
Positions (direct):
I: 0.0912 0.6250 0.2500  2 Pd 2.71
I: 0.3750 0.3412 0.7500  2 Pd 2.71
I: 0.8750 0.9088 0.7500  2 Pd 2.71
I: 0.6588 0.1250 0.2500  2 Pd 2.71
Se: 0.5000 0.5000 0.0000  4 I 3.05
Se: 0.2500 0.7500 0.5000  4 I 3.05
Pd: 0.0000 0.0000 0.0000  4 I 2.71
Pd: 0.7500 0.2500 0.5000  4 I 2.71